[1]
Density functional theory data (PBE) for a relaxed AgRuPb2 crystal.

POSCAR file:
```
AgRuPb2
1.0
3.596 0.000 0.000
0.000 4.433 0.000
0.000 0.000 5.494
Ag Ru Pb
1 1 2
Cartesian
0.000 0.000 0.000 Ag
1.798 0.000 2.747 Ru
0.000 2.216 2.747 Pb
1.798 2.216 0.000 Pb
```

Computed properties:
- size of the total moment (μB/cell) = 0.00
- calculated formation energy (kJ/mol of atoms) = 53
- calculated density (g/cm3) = 11.819



[2]
Density functional theory data (PBE) for a relaxed AgRuPb2 crystal.

POSCAR file:
```
AgRuPb2
1.0
-3.942 3.942 3.071
3.942 -3.942 3.071
3.942 3.942 -3.071
Ag Ru Pb
2 2 4
Cartesian
0.000 0.000 0.000 Ag
0.000 3.942 1.536 Ag
3.942 0.000 1.536 Ru
0.000 0.000 3.071 Ru
1.971 -1.693 2.303 Pb
2.249 1.971 0.768 Pb
1.971 5.635 -0.768 Pb
1.693 1.971 3.839 Pb
```

Computed properties:
- size of the total moment (μB/cell) = 0.00
- calculated formation energy (kJ/mol of atoms) = 62
- calculated density (g/cm3) = 10.844



[3]
Density functional theory data (PBE) for a relaxed Ag2RuPb crystal.

POSCAR file:
```
Ag2RuPb
1.0
2.789 -4.513 0.000
2.789 4.513 0.000
0.000 0.000 3.036
Ag Ru Pb
2 1 1
Cartesian
1.395 2.256 0.000 Ag
1.395 -2.256 0.000 Ag
0.000 0.000 1.518 Ru
2.789 0.000 1.518 Pb
```

Computed properties:
- size of the total moment (μB/cell) = 1.04
- calculated formation energy (kJ/mol of atoms) = 47
- calculated density (g/cm3) = 11.384